PBE Nd2Ge3Pt6, relaxed; DOS at the Fermi energy = 5.61 states/eV/f.u.; E_form = -836 meV per atom; space-group type = P-62m (189)
1.0
7.506 0.000 0.000
-3.753 6.501 0.000
0.000 0.000 4.354
Nd Ge Pt
2 3 6
Direct
0.333 0.667 0.000
0.667 0.333 0.000
0.000 0.368 0.500
0.368 0.000 0.500
0.632 0.632 0.500
0.000 0.211 0.000
0.000 0.692 0.500
0.211 0.000 0.000
0.308 0.308 0.500
0.692 0.000 0.500
0.789 0.789 0.000